# 1
Density functional theory data (PBE) for a geometry-optimized Tb12CeNd5 structure.

Cell: 10.4138 10.4138 5.9960 Å, 90.07 90.07 113.14°
Closest atoms and distances in Å follow each position.
Sites, in units of the cell vectors:
Tb 0.0083 0.3421 0.0495  3 Nd 3.37-3.74, 6 Tb 3.39-3.76, 1 Ce 3.54
Tb 0.1566 0.4906 0.5496  4 Nd 3.37-3.72, 6 Tb 3.40-3.76
Tb 0.1781 0.1781 0.4357  1 Ce 3.31, 4 Tb 3.39-3.42, 2 Nd 3.53
Tb 0.3169 0.3169 0.9372  3 Nd 3.36-3.55, 6 Tb 3.39-3.72, 1 Ce 3.66
Tb 0.3421 0.0083 0.0495  3 Nd 3.37-3.74, 6 Tb 3.39-3.76, 1 Ce 3.54
Tb 0.4906 0.1566 0.5496  4 Nd 3.37-3.72, 6 Tb 3.40-3.76
Tb 0.5094 0.8434 0.4504  4 Nd 3.37-3.72, 6 Tb 3.40-3.76
Tb 0.6579 0.9917 0.9505  3 Nd 3.37-3.74, 6 Tb 3.39-3.76, 1 Ce 3.54
Tb 0.6831 0.6831 0.0628  3 Nd 3.36-3.55, 6 Tb 3.39-3.72, 1 Ce 3.66
Tb 0.8219 0.8219 0.5643  1 Ce 3.31, 4 Tb 3.39-3.42, 2 Nd 3.53
Tb 0.8434 0.5094 0.4504  4 Nd 3.37-3.72, 6 Tb 3.40-3.76
Tb 0.9917 0.6579 0.9505  3 Nd 3.37-3.74, 6 Tb 3.39-3.76, 1 Ce 3.54
Ce 0.0000 0.0000 0.0000  8 Tb 3.31-3.66
Nd 0.1641 0.8359 0.5000  8 Tb 3.37-3.72
Nd 0.3369 0.6631 0.0000  8 Tb 3.37-3.74
Nd 0.5000 0.5000 0.5000  8 Tb 3.36-3.71
Nd 0.6631 0.3369 0.0000  8 Tb 3.37-3.74
Nd 0.8359 0.1641 0.5000  8 Tb 3.37-3.72

Output
- Formation energy from the elements: 0.1101 eV/atom
- M_tot: 1.072 Bohr magnetons per cell
- D(E_F): 32.2 states/eV/cell



# 2
Density functional theory data (PBE) for a geometry-optimized TbCeNd2 structure.

Cell: 5.7670 5.7670 5.7670 Å, 60.00 60.00 60.00°
Closest atoms and distances in Å follow each position.
Sites, in units of the cell vectors:
Tb 0.0000 0.0000 0.0000  8 Nd 3.53
Ce 0.5000 0.5000 0.5000  8 Nd 3.53
Nd 0.2500 0.2500 0.2500  4 Tb 3.53, 4 Ce 3.53
Nd 0.7500 0.7500 0.7500  4 Ce 3.53, 4 Tb 3.53

Output
- Formation energy from the elements: 0.1995 eV/atom
- M_tot: 3.234 Bohr magnetons per cell
- Energy above the lowest structure with this stoichiometry: 0.1391 eV/atom
- D(E_F): 10.4 states/eV/cell



# 3
Density functional theory data (PBE) for a geometry-optimized TbCe4Nd structure.

Cell: 6.3521 6.3521 6.3521 Å, 60.00 60.00 60.00°
Closest atoms and distances in Å follow each position.
Sites, in units of the cell vectors:
Tb 0.0000 0.0000 0.0000  12 Ce 3.71, 4 Nd 3.89
Ce 0.1135 0.6288 0.6288  6 Ce 3.08-3.27
Ce 0.6288 0.1135 0.6288  6 Ce 3.08-3.27
Ce 0.6288 0.6288 0.1135  6 Ce 3.08-3.27
Ce 0.6288 0.6288 0.6288  6 Ce 3.08-3.27
Nd 0.2500 0.2500 0.2500  12 Ce 3.74, 4 Tb 3.89

Output
- Formation energy from the elements: 0.2042 eV/atom
- M_tot: 4.439 Bohr magnetons per cell
- D(E_F): 18.7 states/eV/cell